A plane-wave DFT calculation with PBE was carried out for a relaxed structure of Ba2Li2Hg.

The structure in extended XYZ format:
```
10
Lattice="9.442 0.000 0.000 0.000 9.442 0.000 0.000 0.000 4.878" Properties=species:S:1:pos:R:3 pbc="T T T"
Li 5.826 8.337 2.439
Li 8.337 3.616 2.439
Li 3.616 1.105 2.439
Li 1.105 5.826 2.439
Hg 4.721 4.721 0.000
Hg 0.000 0.000 0.000
Ba 7.820 6.343 0.000
Ba 3.099 7.820 0.000
Ba 1.622 3.099 0.000
Ba 6.343 1.622 0.000
```

Space group: P4/mbm (127)
Formation enthalpy at 0 K: 0.17 eV/f.u.
Total moment: 0.00 μB/atom
Calculated total energy: -1.562 eV per atom
Crystal system: tetragonal
Volume: 43.49 Å³ per atom
Polymorph energy (0 for the lowest one): 0.224 eV per atom